(1)
# GaTcO2F (PBE, relaxed)
# Mass density: 6.131 g cm⁻³
# E_form (uncorrected): -405 kJ/mol of formula units
# DOS(E_F): 0.14 states/eV/atom
data_GaTcO2F
_chemical_formula_sum 'Ga1 Tc1 O2 F1'
_symmetry_space_group_name_H-M 'P 4/m m m'
_symmetry_Int_Tables_number 123
_symmetry_space_group_name_Hall '-P 4 2'
_cell_length_a 3.8928
_cell_length_b 3.8928
_cell_length_c 3.9089
_cell_angle_alpha 90.00
_cell_angle_beta 90.00
_cell_angle_gamma 90.00
loop_
_atom_site_label
_atom_site_fract_x
_atom_site_fract_y
_atom_site_fract_z
Ga1 0.0000 0.0000 0.0000
Tc1 0.5000 0.5000 0.5000
O1 0.0000 0.5000 0.0000
F1 0.0000 0.0000 0.5000

(2)
# GaTcO2F (PBE, relaxed)
# Mass density: 5.413 g cm⁻³
# E_form (uncorrected): -580 kJ/mol of formula units
# DOS(E_F): 0.31 states/eV/atom
data_GaTcO2F
_chemical_formula_sum 'Ga1 Tc1 O2 F1'
_symmetry_space_group_name_H-M 'P 4/m m m'
_symmetry_Int_Tables_number 123
_symmetry_space_group_name_Hall '-P 4 2'
_cell_length_a 3.8491
_cell_length_b 3.8491
_cell_length_c 4.5290
_cell_angle_alpha 90.00
_cell_angle_beta 90.00
_cell_angle_gamma 90.00
loop_
_atom_site_label
_atom_site_fract_x
_atom_site_fract_y
_atom_site_fract_z
Ga1 0.0000 0.0000 0.0000
Tc1 0.5000 0.5000 0.5000
O1 0.0000 0.5000 0.5000
F1 0.5000 0.5000 0.0000

(3)
# GaTeOF2 (PBE, relaxed)
# Mass density: 5.779 g cm⁻³
# E_form (uncorrected): -544 kJ/mol of formula units
# Excess energy over the best structure of this formula in the dataset: 0.000 eV/atom
# DOS(E_F): 0.63 states/eV/atom
data_GaTeOF2
_chemical_formula_sum 'Ga1 Te1 O1 F2'
_symmetry_space_group_name_H-M 'P 4/m m m'
_symmetry_Int_Tables_number 123
_symmetry_space_group_name_Hall '-P 4 2'
_cell_length_a 4.5243
_cell_length_b 4.5243
_cell_length_c 3.5277
_cell_angle_alpha 90.00
_cell_angle_beta 90.00
_cell_angle_gamma 90.00
loop_
_atom_site_label
_atom_site_fract_x
_atom_site_fract_y
_atom_site_fract_z
Ga1 0.0000 0.0000 0.0000
Te1 0.5000 0.5000 0.5000
O1 0.0000 0.0000 0.5000
F1 0.0000 0.5000 0.0000

(4)
# GaTeOF2 (PBE, relaxed)
# Mass density: 4.456 g cm⁻³
# E_form (uncorrected): -524 kJ/mol of formula units
# Excess energy over the best structure of this formula in the dataset: 0.042 eV/atom
# DOS(E_F): 0.28 states/eV/atom
data_GaTeOF2
_chemical_formula_sum 'Ga1 Te1 O1 F2'
_symmetry_space_group_name_H-M 'P 4/m m m'
_symmetry_Int_Tables_number 123
_symmetry_space_group_name_Hall '-P 4 2'
_cell_length_a 4.7640
_cell_length_b 4.7640
_cell_length_c 4.1267
_cell_angle_alpha 90.00
_cell_angle_beta 90.00
_cell_angle_gamma 90.00
loop_
_atom_site_label
_atom_site_fract_x
_atom_site_fract_y
_atom_site_fract_z
Ga1 0.0000 0.0000 0.0000
Te1 0.5000 0.5000 0.5000
O1 0.5000 0.5000 0.0000
F1 0.0000 0.5000 0.5000

(5)
# TiGaOF2 (PBE, relaxed)
# Mass density: 4.190 g cm⁻³
# E_form (uncorrected): -1127 kJ/mol of formula units
# Excess energy over the best structure of this formula in the dataset: 0.000 eV/atom
# DOS(E_F): 0.37 states/eV/atom
data_TiGaOF2
_chemical_formula_sum 'Ti1 Ga1 O1 F2'
_symmetry_space_group_name_H-M 'P 4/m m m'
_symmetry_Int_Tables_number 123
_symmetry_space_group_name_Hall '-P 4 2'
_cell_length_a 4.1990
_cell_length_b 4.1990
_cell_length_c 3.8566
_cell_angle_alpha 90.00
_cell_angle_beta 90.00
_cell_angle_gamma 90.00
loop_
_atom_site_label
_atom_site_fract_x
_atom_site_fract_y
_atom_site_fract_z
Ti1 0.0000 0.0000 0.0000
Ga1 0.5000 0.5000 0.5000
O1 0.0000 0.0000 0.5000
F1 0.0000 0.5000 0.0000

(6)
# TiGaO2F (PBE, relaxed)
# Mass density: 4.929 g cm⁻³
# E_form (uncorrected): -742 kJ/mol of formula units
# DOS(E_F): 0.58 states/eV/atom
data_TiGaO2F
_chemical_formula_sum 'Ti1 Ga1 O2 F1'
_symmetry_space_group_name_H-M 'P 4/m m m'
_symmetry_Int_Tables_number 123
_symmetry_space_group_name_Hall '-P 4 2'
_cell_length_a 3.8844
_cell_length_b 3.8844
_cell_length_c 3.7640
_cell_angle_alpha 90.00
_cell_angle_beta 90.00
_cell_angle_gamma 90.00
loop_
_atom_site_label
_atom_site_fract_x
_atom_site_fract_y
_atom_site_fract_z
Ti1 0.0000 0.0000 0.0000
Ga1 0.5000 0.5000 0.5000
O1 0.0000 0.5000 0.5000
F1 0.5000 0.5000 0.0000

(7)
# TiGaOF2 (PBE, relaxed)
# Mass density: 4.376 g cm⁻³
# E_form (uncorrected): -679 kJ/mol of formula units
# Excess energy over the best structure of this formula in the dataset: 0.927 eV/atom
# DOS(E_F): 0.80 states/eV/atom
data_TiGaOF2
_chemical_formula_sum 'Ti1 Ga1 O1 F2'
_symmetry_space_group_name_H-M 'P 4/m m m'
_symmetry_Int_Tables_number 123
_symmetry_space_group_name_Hall '-P 4 2'
_cell_length_a 4.1548
_cell_length_b 4.1548
_cell_length_c 3.7720
_cell_angle_alpha 90.00
_cell_angle_beta 90.00
_cell_angle_gamma 90.00
loop_
_atom_site_label
_atom_site_fract_x
_atom_site_fract_y
_atom_site_fract_z
Ti1 0.0000 0.0000 0.0000
Ga1 0.5000 0.5000 0.5000
O1 0.5000 0.5000 0.0000
F1 0.0000 0.5000 0.5000

(8)
# TiGaO2F (PBE, relaxed)
# Mass density: 4.472 g cm⁻³
# E_form (uncorrected): -1088 kJ/mol of formula units
data_TiGaO2F
_chemical_formula_sum 'Ti1 Ga1 O2 F1'
_symmetry_space_group_name_H-M 'P 4/m m m'
_symmetry_Int_Tables_number 123
_symmetry_space_group_name_Hall '-P 4 2'
_cell_length_a 3.8880
_cell_length_b 3.8880
_cell_length_c 4.1413
_cell_angle_alpha 90.00
_cell_angle_beta 90.00
_cell_angle_gamma 90.00
loop_
_atom_site_label
_atom_site_fract_x
_atom_site_fract_y
_atom_site_fract_z
Ti1 0.0000 0.0000 0.0000
Ga1 0.5000 0.5000 0.5000
O1 0.0000 0.5000 0.0000
F1 0.0000 0.0000 0.5000

(9)
# TlGaOF2 (PBE, relaxed)
# Mass density: 7.819 g cm⁻³
# E_form (uncorrected): -888 kJ/mol of formula units
# Excess energy over the best structure of this formula in the dataset: 0.000 eV/atom
# DOS(E_F): 0.00 states/eV/atom
data_TlGaOF2
_chemical_formula_sum 'Tl1 Ga1 O1 F2'
_symmetry_space_group_name_H-M 'P 4/m m m'
_symmetry_Int_Tables_number 123
_symmetry_space_group_name_Hall '-P 4 2'
_cell_length_a 4.3774
_cell_length_b 4.3774
_cell_length_c 3.6362
_cell_angle_alpha 90.00
_cell_angle_beta 90.00
_cell_angle_gamma 90.00
loop_
_atom_site_label
_atom_site_fract_x
_atom_site_fract_y
_atom_site_fract_z
Tl1 0.0000 0.0000 0.0000
Ga1 0.5000 0.5000 0.5000
O1 0.5000 0.5000 0.0000
F1 0.0000 0.5000 0.5000

(10)
# TlGaOF2 (PBE, relaxed)
# Mass density: 6.201 g cm⁻³
# E_form (uncorrected): -559 kJ/mol of formula units
# Excess energy over the best structure of this formula in the dataset: 0.683 eV/atom
# DOS(E_F): 0.01 states/eV/atom
data_TlGaOF2
_chemical_formula_sum 'Tl1 Ga1 O1 F2'
_symmetry_space_group_name_H-M 'P 4/m m m'
_symmetry_Int_Tables_number 123
_symmetry_space_group_name_Hall '-P 4 2'
_cell_length_a 4.6250
_cell_length_b 4.6250
_cell_length_c 4.1078
_cell_angle_alpha 90.00
_cell_angle_beta 90.00
_cell_angle_gamma 90.00
loop_
_atom_site_label
_atom_site_fract_x
_atom_site_fract_y
_atom_site_fract_z
Tl1 0.0000 0.0000 0.0000
Ga1 0.5000 0.5000 0.5000
O1 0.0000 0.0000 0.5000
F1 0.0000 0.5000 0.0000